DFT (PBE+U) results for Cs2AcCo3F12 after structural relaxation.

## Properties
The raw total energy is -0.1888 hartree per atom. The total magnetization comes out at 0.556 μB per atom. Its space group is R-3m (166). The volume is 16.9 Å³/atom.

a = 7.3694 Å, b = 7.3694 Å, c = 7.3694 Å
α = 63.36°, β = 63.36°, γ = 63.36°
Each line ends with the local moment (μB).
Sites, in units of the cell vectors:
F 0.2713 0.2713 0.9055  0.09
F 0.1195 0.5990 0.1195  0.06
F 0.7287 0.7287 0.0945  0.09
F 0.7287 0.0945 0.7287  0.09
F 0.9055 0.2713 0.2713  0.09
F 0.1195 0.1195 0.5990  0.06
F 0.8805 0.8805 0.4010  0.06
F 0.2713 0.9055 0.2713  0.09
F 0.5990 0.1195 0.1195  0.06
F 0.8805 0.4010 0.8805  0.06
F 0.4010 0.8805 0.8805  0.06
F 0.0945 0.7287 0.7287  0.09
Cs 0.3913 0.3913 0.3913  0.00
Cs 0.6087 0.6087 0.6087  0.00
Ac 0.0000 0.0000 0.0000  0.00
Co 0.5000 0.0000 0.0000  2.99
Co 0.0000 0.0000 0.5000  2.99
Co 0.0000 0.5000 0.0000  2.99